Below is a relaxed Li6SnAu12 crystal, with properties calculated at the PBE level.

Lattice parameters (Å, degrees): 7.4777 7.4777 7.4777 106.78 106.78 106.78
With the nearest neighbours (Å) after each atom.
Fractional positions:
Au1 0.5968 0.1923 0.4831  4 Li 2.72-2.90, 6 Au 2.76-2.94
Au2 0.8662 0.7267 0.1612  1 Sn 2.75, 5 Au 2.76-3.00, 5 Li 2.83-2.97
Au3 0.1612 0.8662 0.7267  1 Sn 2.75, 5 Au 2.76-3.00, 5 Li 2.83-2.97
Au4 0.7267 0.1612 0.8662  1 Sn 2.75, 5 Au 2.76-3.00, 5 Li 2.83-2.97
Au5 0.5169 0.4032 0.8077  4 Li 2.72-2.90, 6 Au 2.76-2.94
Au6 0.2733 0.8388 0.1338  1 Sn 2.75, 5 Au 2.76-3.00, 5 Li 2.83-2.97
Au7 0.8388 0.1338 0.2733  1 Sn 2.75, 5 Au 2.76-3.00, 5 Li 2.83-2.97
Au8 0.1338 0.2733 0.8388  1 Sn 2.75, 5 Au 2.76-3.00, 5 Li 2.83-2.97
Au9 0.4032 0.8077 0.5169  4 Li 2.72-2.90, 6 Au 2.76-2.94
Au10 0.1923 0.4831 0.5968  4 Li 2.72-2.90, 6 Au 2.76-2.94
Au11 0.8077 0.5169 0.4032  4 Li 2.72-2.90, 6 Au 2.76-2.94
Au12 0.4831 0.5968 0.1923  4 Li 2.72-2.90, 6 Au 2.76-2.94
Li1 0.5276 0.7959 0.9175  9 Au 2.72-2.97
Li2 0.9175 0.5276 0.7959  9 Au 2.72-2.97
Li3 0.4724 0.2041 0.0825  9 Au 2.72-2.97
Li4 0.7959 0.9175 0.5276  9 Au 2.72-2.97
Li5 0.2041 0.0825 0.4724  9 Au 2.72-2.97
Li6 0.0825 0.4724 0.2041  9 Au 2.72-2.97
Sn1 0.0000 0.0000 0.0000  6 Au 2.75

Results
**Polymorph energy (0 for the lowest one)**: 0.98 kcal/mol of atoms
**N(E_F)**: 6.4 states/eV/f.u.
**Formation energy**: -32.21 kJ/mol of atoms
**Final energy**: -61.16 eV per cell
**Calculated volume**: 350 Å³ per cell
**Space-group type**: R-3 (148)
**Density**: 11.97 g/cm³